Density functional theory data (GGA-PBE) for an optimized crystal structure of RbHfTc2.

abc: 4.808 4.808 4.808
angles: 60.00 60.00 60.00
Element x y z (fractional)
Tc: 0.250 0.250 0.250
Tc: 0.750 0.750 0.750
Hf: 0.500 0.500 0.500
Rb: 0.000 0.000 0.000

- Offset from the most stable computed form: 0.000 eV/atom
- Energy of formation: 1.42 eV/atom
- Space group: Fm-3m (225)